1.
VASP calculation (PBE) on a relaxed structure of NdErNiI.

The formation energy without anion corrections comes out at -655 meV per atom.

It has space group R3m (No. 160, hexagonal axes), with a = 4.0548 Å, b = 4.0548 Å, c = 23.7886 Å, α = 90.00°, β = 90.00° and γ = 120.00°. The asymmetric unit holds Nd at (0.0000, 0.0000, 0.0000), Er at (0.0000, 0.0000, 0.7868), Ni at (0.0000, 0.0000, 0.3962) and I at (0.0000, 0.0000, 0.2230).

=====

2.
VASP calculation (PBE) on a relaxed structure of Fe6GeB2.

For the energy of formation, the calculation gives -186 meV/atom.

It has space group Immm (No. 71), with a = 6.725 Å, b = 7.013 Å, c = 7.725 Å, α = 90.00°, β = 90.00° and γ = 90.00°. The asymmetric unit holds Fe at (0.000, 0.214, 0.245), Fe at (0.198, 0.500, 0.178), Fe at (0.207, 0.309, 0.500), Ge at (0.000, 0.000, 0.000), Ge at (0.000, 0.000, 0.500), B at (0.000, 0.364, 0.000) and B at (0.000, 0.500, 0.383).

=====

3.
VASP calculation (PBE) on a relaxed structure of CaTb4As5.

For the energy of formation, the calculation gives -1409 meV/atom.

It has space group Immm (No. 71), with a = 4.149 Å, b = 5.880 Å, c = 20.862 Å, α = 90.00°, β = 90.00° and γ = 90.00°. The asymmetric unit holds Ca at (0.000, 0.000, 0.000), Tb at (0.000, 0.000, 0.200), Tb at (0.000, 0.000, 0.401), As at (0.000, 0.500, 0.000), As at (0.000, 0.500, 0.199) and As at (0.000, 0.500, 0.396).

=====

4.
VASP calculation (PBE) on a relaxed structure of NaCdCu2.

For the energy of formation, the calculation gives 322 meV/atom.

It has space group I4_1/amd (No. 141, origin choice 2), with a = 4.706 Å, b = 4.706 Å, c = 18.333 Å, α = 90.00°, β = 90.00° and γ = 90.00°. The asymmetric unit holds Na at (0.000, 0.250, 0.375), Cd at (0.000, 0.250, 0.875) and Cu at (0.000, 0.000, 0.000).

=====

5.
VASP calculation (PBE) on a relaxed structure of HoZn3GaCu.

For the energy of formation, the calculation gives -141 meV/atom.

It has space group Cmcm (No. 63), with a = 6.028 Å, b = 12.063 Å, c = 5.843 Å, α = 90.00°, β = 90.00° and γ = 90.00°. The asymmetric unit holds Ho at (0.000, 0.204, 0.250), Zn at (0.000, 0.367, 0.750), Zn at (0.211, 0.000, 0.000), Ga at (0.000, 0.153, 0.750) and Cu at (0.000, 0.425, 0.250).